Material: Cr2BiO
Method: DFT, PBE with a Hubbard U
State: relaxed

```
Cr2BiO
1.0
6.546 0.000 0.000
0.000 6.546 0.000
0.000 0.000 7.799
Cr Bi O
8 4 4
direct
0.078 0.750 0.125
0.250 0.078 0.875
0.250 0.422 0.375
0.422 0.750 0.625
0.578 0.250 0.625
0.750 0.578 0.375
0.750 0.922 0.875
0.922 0.250 0.125
0.000 0.000 0.500
0.000 0.500 0.750
0.500 0.000 0.250
0.500 0.500 0.000
0.000 0.000 0.000
0.000 0.500 0.250
0.500 0.000 0.750
0.500 0.500 0.500
```

Output
DOS at the Fermi energy ... 12.5 states/eV per cell
Energy above the lowest structure with this stoichiometry ... 0.000 eV/atom
V ... 334.23 Å³/cell
SG ... I-42d (122)
Size of the total moment ... 29.9 μB per cell